Entry 1:
Crystalline BeCu3 at its relaxed geometry. Source: OQMD, functional GGA-PBE.

The structure in extended XYZ format:
```
8
Lattice="4.040 0.000 0.000 0.000 4.970 0.000 0.000 0.000 4.319" Properties=species:S:1:pos:R:3 pbc="T T T"
Be 1.010 1.242 0.734
Be 3.030 3.727 3.584
Cu 1.010 0.001 2.889
Cu 1.010 2.484 2.889
Cu 1.010 3.727 0.675
Cu 3.030 4.968 1.430
Cu 3.030 1.242 3.644
Cu 3.030 2.486 1.430
```

Values from the calculation:
DFT total energy: -29.87 eV for the cell shown

=====

Entry 2:
Crystalline Dy2HoMg3Al2Zn at its relaxed geometry. Source: OQMD, functional GGA-PBE.

The structure in extended XYZ format:
```
9
Lattice="4.463 0.000 0.000 0.000 6.354 3.676 0.000 -6.354 3.676" Properties=species:S:1:pos:R:3 pbc="T T T"
Dy 0.000 -3.686 3.676
Dy 0.000 3.686 3.676
Ho 0.000 0.000 2.720
Mg 2.231 0.000 0.227
Mg 2.231 -1.534 4.920
Mg 2.231 1.534 4.920
Al 2.231 -2.114 2.133
Al 2.231 2.114 2.133
Zn 0.000 0.000 5.799
```

Values from the calculation:
Total moment: 0.00 μB/f.u.
DFT total energy: -30.03 eV for the cell shown

=====

Entry 3:
Crystalline NaTcTe at its relaxed geometry. Source: OQMD, functional GGA-PBE.

The structure in extended XYZ format:
```
3
Lattice="0.000 3.378 3.378 3.378 0.000 3.378 3.378 3.378 0.000" Properties=species:S:1:pos:R:3 pbc="T T T"
Na 0.000 0.000 0.000
Tc 5.067 5.067 5.067
Te 1.689 1.689 1.689
```

Values from the calculation:
Total moment: 4.09 μB/f.u.
Energy above the lowest structure with this stoichiometry: 592.4 meV per atom

=====

Entry 4:
Crystalline TmBiB at its relaxed geometry. Source: OQMD, functional GGA-PBE.

The structure in extended XYZ format:
```
3
Lattice="0.000 3.379 3.379 3.379 0.000 3.379 3.379 3.379 0.000" Properties=species:S:1:pos:R:3 pbc="T T T"
Tm 0.000 0.000 0.000
Bi 1.689 1.689 1.689
B 5.068 5.068 5.068
```

Values from the calculation:
Total moment: 0.00 μB/f.u.
Energy above the lowest structure with this stoichiometry: 437.9 meV per atom